# 1
VASP calculation (GGA-PBEsol) on an optimized crystal structure of AgPPb.

Cell and atoms, written as POSCAR:
```
AgPPb
1.0
-0.362 -0.585 4.144
4.186 0.514 0.438
-2.585 3.352 0.248
Ag P Pb
1 1 1
Direct
0.000 0.000 0.000 Ag
0.000 0.333 0.667 P
0.500 0.667 0.333 Pb
```

Properties
energy of formation from the pure elements: 0.09 eV per atom
distance to the lowest polymorph of the same formula: 0.0 meV per atom
crystal system: hexagonal

---

# 2
VASP calculation (GGA-PBEsol) on an optimized crystal structure of InAuI2N.

Cell and atoms, written as POSCAR:
```
InAuI2N
1.0
4.002 0.000 0.000
0.000 5.853 0.000
0.000 0.000 5.853
I N Au In
2 1 1 1
Direct
0.000 0.000 0.500 I
0.000 0.500 0.000 I
0.500 0.000 0.000 N
0.500 0.500 0.500 Au
0.000 0.000 0.000 In
```

Properties
energy relative to the elements, uncorrected: 4.3 eV/f.u.
distance to the lowest polymorph of the same formula: 333.3 meV per atom
crystal system: tetragonal

---

What are the magnetic moment values for these records? In order: 0.00, 1.25 μB/f.u..